Entry 1:
Material: HoTh6N8
Method: DFT, PBE
State: relaxed

Lattice parameters (Å, degrees): 7.229 7.229 7.229 60.00 60.00 60.00
Fractional coordinates of all 15 atoms:
Th  0.500  0.000  0.000
N  0.767  0.767  0.233
Th  0.000  0.000  0.500
N  0.767  0.233  0.767
N  0.233  0.233  0.767
N  0.250  0.250  0.250
N  0.233  0.767  0.767
Th  0.000  0.500  0.000
N  0.233  0.767  0.233
Th  0.500  0.500  0.000
Th  0.500  0.000  0.500
Ho  0.000  0.000  0.000
Th  0.000  0.500  0.500
N  0.767  0.233  0.233
N  0.750  0.750  0.750

Summary:
formation energy without anion corrections	-1460	meV per atom
total energy	-9.1734	eV per atom

Entry 2:
Material: Na2BrCl
Method: DFT, PBE
State: relaxed

Lattice parameters (Å, degrees): 7.188 7.188 7.188 33.48 33.48 33.48
Fractional coordinates of all 4 atoms:
Br  0.500  0.500  0.500
Na  0.254  0.254  0.254
Cl  0.000  0.000  0.000
Na  0.746  0.746  0.746

Summary:
formation energy without anion corrections	-1678	meV per atom
total energy	-3.2169	eV per atom
energy above the lowest structure with this stoichiometry	0.00	eV per formula unit

Entry 3:
Material: LaAl8Pd2
Method: DFT, PBE
State: relaxed

Lattice parameters (Å, degrees): 5.663 5.663 8.422 90.00 90.00 90.00
Fractional coordinates of all 11 atoms:
Pd  0.500  0.000  0.000
Al  0.250  0.750  0.189
Al  0.750  0.750  0.811
Al  0.250  0.750  0.811
Al  0.750  0.750  0.189
La  0.500  0.500  0.500
Al  0.250  0.250  0.189
Al  0.750  0.250  0.811
Al  0.750  0.250  0.189
Pd  0.000  0.500  0.000
Al  0.250  0.250  0.811

Summary:
total energy	-4.1558	eV per atom

Entry 4:
Material: TmPPt
Method: DFT, PBE
State: relaxed

Lattice parameters (Å, degrees): 3.812 3.812 4.840 113.19 113.19 90.00
Fractional coordinates of all 3 atoms:
P  0.269  0.269  0.537
Pt  0.972  0.972  0.943
Tm  0.610  0.610  0.220

Summary:
total energy	-6.1196	eV per atom

| no. | theoretical density (g cm⁻³) |
| --- | --- |
| 1 | 10.38 |
| 2 | 2.66 |
| 3 | 3.49 |
| 4 | 11.23 |